(1)
Entry from Alexandria via LeMat-Bulk: crystalline Zr2Zn16Cu at its relaxed geometry (GGA-PBE).

The space group is R3m (No. 160, hexagonal axes) and the conventional cell measures 8.7845, 8.7845 and 12.9595 Å, with angles of 90.00, 90.00 and 120.00 degrees. The inequivalent atoms are Zr at (0.0000, 0.0000, 0.0000), Zr at (0.0000, 0.0000, 0.3356), Zn at (0.0000, 0.0000, 0.5682), Zn at (0.0000, 0.2991, 0.6691), Zn at (0.0125, 0.5063, 0.8184), Zn at (0.1696, 0.3392, 0.5022), Zn at (0.1710, 0.3420, 0.8522) and Cu at (0.0000, 0.0000, 0.7693).

***

(2)
Entry from Alexandria via LeMat-Bulk: crystalline ZrZn2Cu at its relaxed geometry (GGA-PBE).

The space group is P2/m (No. 10) and the conventional cell measures 2.745, 4.222 and 5.672 Å, with angles of 90.00, 102.00 and 90.00 degrees. The inequivalent atoms are Zr at (0.000, 0.000, 0.000), Zn at (0.347, 0.500, 0.720) and Cu at (0.500, 0.000, 0.500).

***

(3)
Entry from Alexandria via LeMat-Bulk: crystalline Zr2Zn2Cu at its relaxed geometry (GGA-PBE).

The space group is Cmmm (No. 65) and the conventional cell measures 3.165, 19.592 and 2.919 Å, with angles of 90.00, 90.00 and 90.00 degrees. The inequivalent atoms are Zr at (0.000, 0.096, 0.000), Zn at (0.000, 0.302, 0.500) and Cu at (0.000, 0.500, 0.500).

The value obtained for the relative energy among the computed polymorphs is 0.105 eV per atom.

***

(4)
Entry from Alexandria via LeMat-Bulk: crystalline Zr5ZnCu4 at its relaxed geometry (GGA-PBE).

The space group is P4/mmm (No. 123) and the conventional cell measures 3.261, 3.261 and 16.732 Å, with angles of 90.00, 90.00 and 90.00 degrees. The inequivalent atoms are Zr at (0.000, 0.000, 0.000), Zr at (0.000, 0.000, 0.198), Zr at (0.000, 0.000, 0.396), Zn at (0.500, 0.500, 0.500), Cu at (0.500, 0.500, 0.099) and Cu at (0.500, 0.500, 0.298).

***

(5)
Entry from Alexandria via LeMat-Bulk: crystalline Zr3ZnCu at its relaxed geometry (GGA-PBE).

The space group is Pm-3m (No. 221) and the conventional cell measures 4.894, 4.894 and 4.894 Å, with angles of 90.00, 90.00 and 90.00 degrees. The inequivalent atoms are Zr at (0.000, 0.000, 0.500), Zn at (0.500, 0.500, 0.500) and Cu at (0.000, 0.000, 0.000).

The value obtained for the relative energy among the computed polymorphs is 0.000 eV per atom.

***

(6)
Entry from Alexandria via LeMat-Bulk: crystalline ZrZn2Cu at its relaxed geometry (GGA-PBE).

The space group is I-4m2 (No. 119) and the conventional cell measures 4.456, 4.456 and 6.336 Å, with angles of 90.00, 90.00 and 90.00 degrees. The inequivalent atoms are Zr at (0.000, 0.000, 0.000), Zn at (0.000, 0.000, 0.500), Zn at (0.000, 0.500, 0.750) and Cu at (0.000, 0.500, 0.250).

***

| no. | DFT formation energy (eV/atom) |
| --- | --- |
| 1 | -0.135 |
| 2 | -0.107 |
| 3 | -0.076 |
| 4 | -0.137 |
| 5 | 0.524 |
| 6 | -0.207 |